1.
# BeIrCl2

Crystalline BeIrCl2 at its relaxed geometry (PBE-GGA, Alexandria via LeMat-Bulk).

Unit cell a=4.0309 b=3.2523 c=4.9043 alpha=94.47 beta=90.00 gamma=90.00
With the nearest neighbours (Å) after each atom.
Positions (direct):
Cl 0.0000 0.4842 0.4998  2 Ir 2.45, 2 Be 2.48
Cl 0.0000 0.0158 0.0002  2 Ir 2.45, 2 Be 2.48
Be 0.5000 0.7500 0.7500  4 Cl 2.48
Ir 0.5000 0.2500 0.2500  4 Cl 2.45

- Relative energy among the computed polymorphs: 3.048 eV per formula unit

***

2.
# Be4IrCl

Crystalline Be4IrCl at its relaxed geometry (PBE-GGA, Alexandria via LeMat-Bulk).

Unit cell a=4.5137 b=4.5137 c=4.5137 alpha=60.00 beta=60.00 gamma=60.00
With the nearest neighbours (Å) after each atom.
Positions (direct):
Cl 0.2500 0.2500 0.2500  12 Be 2.65, 4 Ir 2.76
Be 0.6276 0.6276 0.6276  6 Be 2.21-2.30
Be 0.6276 0.6276 0.1172  6 Be 2.21-2.30
Be 0.1172 0.6276 0.6276  6 Be 2.21-2.30
Be 0.6276 0.1172 0.6276  6 Be 2.21-2.30
Ir 0.0000 0.0000 0.0000  12 Be 2.64, 4 Cl 2.76

***

3.
# BeIr3Cl

Crystalline BeIr3Cl at its relaxed geometry (PBE-GGA, Alexandria via LeMat-Bulk).

Unit cell a=4.2383 b=4.2383 c=4.2383 alpha=90.00 beta=90.00 gamma=90.00
With the nearest neighbours (Å) after each atom.
Positions (direct):
Be 0.0000 0.0000 0.0000  6 Ir 2.12
Ir 0.5000 0.0000 0.0000  2 Be 2.12
Ir 0.0000 0.0000 0.5000  2 Be 2.12
Ir 0.0000 0.5000 0.0000  2 Be 2.12
Cl 0.5000 0.5000 0.5000  12 Ir 3.00

- Relative energy among the computed polymorphs: 0.000 eV per formula unit

***

Record-wise ρ values, in g cm⁻³: 7.1, 6.7, 13.5
Record-wise energy relative to the elements, uncorrected values, in eV per atom: 0.584, 0.346, 1.149